## ZrSnN (PBE)

Data for a geometry-optimized ZrSnN structure.

abc: 3.7055 3.7055 8.0097
angles: 90.00 90.00 90.00
Fractional coordinates of all 6 atoms:
Sn (0.5000, 0.5000, 0.0000)
N (0.5000, 0.0000, 0.6098)
Zr (0.0000, 0.5000, 0.6394)
Sn (0.0000, 0.0000, 0.0000)
N (0.0000, 0.5000, 0.3902)
Zr (0.5000, 0.0000, 0.3606)

Values from the calculation:
**E_form (uncorrected)**: -274 meV per atom
**Volume**: 18.330 Å³/atom
**Symmetry**: No. 129